[1]
An optimized crystal structure of Be. Source: Alexandria, functional GGA-PBEsol.

Summary:
As for the crystal system: cubic. The value obtained for the density of states at the Fermi level is 0.1158 states/eV/atom. Its formation energy from the elements is 0.101 eV/atom.

a b c (Å): 2.159 2.159 2.159
angles (deg): 109.47 109.47 109.47
Atoms (fractional coordinates):
Be  0.000  0.000  0.000

---

[2]
An optimized crystal structure of Be. Source: Alexandria, functional GGA-PBEsol.

Summary:
As for the crystal system: cubic. The value obtained for the density of states at the Fermi level is 0.0765 states/eV/atom. Its formation energy from the elements is 0.082 eV/atom.

a b c (Å): 2.226 2.226 2.226
angles (deg): 60.00 60.00 60.00
Atoms (fractional coordinates):
Be  0.500  0.500  0.500

---

[3]
An optimized crystal structure of Be. Source: Alexandria, functional GGA-PBEsol.

Summary:
As for the crystal system: hexagonal. The value obtained for the density of states at the Fermi level is 0.0477 states/eV/atom. Its formation energy from the elements is 0.000 eV/atom.

a b c (Å): 2.258 2.258 3.558
angles (deg): 90.00 90.00 120.00
Atoms (fractional coordinates):
Be  0.667  0.333  0.750
Be  0.333  0.667  0.250

---

[4]
An optimized crystal structure of BeBiBr2. Source: Alexandria, functional GGA-PBEsol.

Summary:
As for the crystal system: cubic. The calculation puts the electronic total energy at -0.186 Ry/atom. The value obtained for the density of states at the Fermi level is 0.5014 states/eV/atom.

a b c (Å): 5.090 5.090 5.090
angles (deg): 60.00 60.00 60.00
Atoms (fractional coordinates):
Br  0.250  0.250  0.250
Br  0.750  0.750  0.750
Be  0.000  0.000  0.000
Bi  0.500  0.500  0.500

---

[5]
An optimized crystal structure of BeBiSeBr2. Source: Alexandria, functional GGA-PBEsol.

Summary:
As for the crystal system: tetragonal. The calculation puts the electronic total energy at -0.250 Ry/atom. The value obtained for the density of states at the Fermi level is 0.4482 states/eV/atom.

a b c (Å): 4.628 4.628 5.009
angles (deg): 90.00 90.00 90.00
Atoms (fractional coordinates):
Br  0.500  0.000  0.000
Br  0.000  0.500  0.000
Bi  0.500  0.500  0.500
Be  0.000  0.000  0.000
Se  0.000  0.000  0.500

---

[6]
An optimized crystal structure of BeBiSeBr2. Source: Alexandria, functional GGA-PBEsol.

Summary:
As for the crystal system: tetragonal. The calculation puts the electronic total energy at -0.196 Ry/atom. The value obtained for the density of states at the Fermi level is 0.3107 states/eV/atom.

a b c (Å): 5.578 5.579 5.579
angles (deg): 90.00 90.00 90.00
Atoms (fractional coordinates):
Se  0.500  0.000  0.000
Br  0.000  0.500  0.000
Br  0.000  0.000  0.500
Be  0.500  0.500  0.500
Bi  0.000  0.000  0.000

---

[7]
An optimized crystal structure of BeBiPtC2. Source: Alexandria, functional GGA-PBEsol.

Summary:
As for the crystal system: tetragonal. The value obtained for the density of states at the Fermi level is 0.8786 states/eV/atom. Its formation energy from the elements is 3.084 eV/atom.

a b c (Å): 4.420 4.420 4.561
angles (deg): 90.00 90.00 90.00
Atoms (fractional coordinates):
Be  0.000  0.000  0.500
Pt  0.500  0.500  0.500
C  0.500  0.000  0.000
C  0.000  0.500  0.000
Bi  0.000  0.000  0.000

---

[8]
An optimized crystal structure of CaBe3Bi. Source: Alexandria, functional GGA-PBEsol.

Summary:
As for the crystal system: cubic. The value obtained for the density of states at the Fermi level is 0.7001 states/eV/atom. Its formation energy from the elements is 1.781 eV/atom.

a b c (Å): 4.897 4.897 4.897
angles (deg): 90.00 90.00 90.00
Atoms (fractional coordinates):
Bi  0.500  0.500  0.500
Ca  0.000  0.000  0.000
Be  0.000  0.000  0.500
Be  0.000  0.500  0.000
Be  0.500  0.000  0.000

---

[9]
An optimized crystal structure of CsCaBeBi2. Source: Alexandria, functional GGA-PBEsol.

Summary:
As for the crystal system: tetragonal. The value obtained for the density of states at the Fermi level is 0.6418 states/eV/atom. Its formation energy from the elements is 1.583 eV/atom.

a b c (Å): 5.944 6.172 6.172
angles (deg): 90.00 90.00 90.00
Atoms (fractional coordinates):
Be  0.500  0.500  0.500
Cs  0.000  0.000  0.000
Bi  0.000  0.500  0.000
Bi  0.000  0.000  0.500
Ca  0.500  0.000  0.000

---

[10]
An optimized crystal structure of Na2CaBeBi. Source: Alexandria, functional GGA-PBEsol.

Summary:
As for the crystal system: tetragonal. The value obtained for the density of states at the Fermi level is 0.4399 states/eV/atom. Its formation energy from the elements is 0.214 eV/atom.

a b c (Å): 5.190 5.190 5.180
angles (deg): 90.00 90.00 90.00
Atoms (fractional coordinates):
Na  0.500  0.000  0.000
Na  0.000  0.500  0.000
Be  0.000  0.000  0.000
Ca  0.500  0.500  0.500
Bi  0.000  0.000  0.500

---

[11]
An optimized crystal structure of Be3CdBi. Source: Alexandria, functional GGA-PBEsol.

Summary:
As for the crystal system: cubic. The value obtained for the density of states at the Fermi level is 0.5855 states/eV/atom. Its formation energy from the elements is 1.400 eV/atom.

a b c (Å): 4.814 4.814 4.814
angles (deg): 90.00 90.00 90.00
Atoms (fractional coordinates):
Cd  0.500  0.500  0.500
Bi  0.000  0.000  0.000
Be  0.000  0.500  0.000
Be  0.000  0.000  0.500
Be  0.500  0.000  0.000

---

[12]
An optimized crystal structure of BeBi2Cl. Source: Alexandria, functional GGA-PBEsol.

Summary:
As for the crystal system: cubic. The calculation puts the electronic total energy at -0.251 Ry/atom. The value obtained for the density of states at the Fermi level is 0.3660 states/eV/atom.

a b c (Å): 4.997 4.997 4.997
angles (deg): 60.00 60.00 60.00
Atoms (fractional coordinates):
Bi  0.250  0.250  0.250
Bi  0.750  0.750  0.750
Be  0.000  0.000  0.000
Cl  0.500  0.500  0.500

---

[13]
An optimized crystal structure of KBeBiCl2. Source: Alexandria, functional GGA-PBEsol.

Summary:
As for the crystal system: tetragonal. The calculation puts the electronic total energy at -0.205 Ry/atom. The value obtained for the density of states at the Fermi level is 0.6788 states/eV/atom.

a b c (Å): 4.450 4.450 9.351
angles (deg): 90.00 90.00 90.00
Atoms (fractional coordinates):
Be  0.000  0.000  0.000
Cl  0.000  0.500  0.000
Cl  0.500  0.000  0.000
Bi  0.500  0.500  0.500
K  0.000  0.000  0.500

---

[14]
An optimized crystal structure of MnBeBi2Cl. Source: Alexandria, functional GGA-PBEsol.

Summary:
As for the crystal system: tetragonal. The calculation puts the electronic total energy at -0.339 Ry/atom. The value obtained for the density of states at the Fermi level is 0.2952 states/eV/atom.

a b c (Å): 4.287 4.954 4.954
angles (deg): 90.00 90.00 90.00
Atoms (fractional coordinates):
Bi  0.000  0.500  0.000
Bi  0.000  0.000  0.500
Be  0.500  0.000  0.000
Cl  0.500  0.500  0.500
Mn  0.000  0.000  0.000

---

[15]
An optimized crystal structure of BeBiPb2Cl. Source: Alexandria, functional GGA-PBEsol.

Summary:
As for the crystal system: tetragonal. The calculation puts the electronic total energy at -0.226 Ry/atom. The value obtained for the density of states at the Fermi level is 0.4519 states/eV/atom.

a b c (Å): 4.355 6.268 6.268
angles (deg): 90.00 90.00 90.00
Atoms (fractional coordinates):
Pb  0.000  0.000  0.500
Pb  0.000  0.500  0.000
Cl  0.500  0.500  0.500
Bi  0.000  0.000  0.000
Be  0.500  0.000  0.000

---

[16]
An optimized crystal structure of BeTc2BiCl. Source: Alexandria, functional GGA-PBEsol.

Summary:
As for the crystal system: tetragonal. The calculation puts the electronic total energy at -0.405 Ry/atom. The value obtained for the density of states at the Fermi level is 0.7630 states/eV/atom.

a b c (Å): 3.853 4.539 4.539
angles (deg): 90.00 90.00 90.00
Atoms (fractional coordinates):
Be  0.500  0.000  0.000
Cl  0.000  0.000  0.000
Tc  0.000  0.000  0.500
Tc  0.000  0.500  0.000
Bi  0.500  0.500  0.500

---

[17]
An optimized crystal structure of BeBiW2Cl. Source: Alexandria, functional GGA-PBEsol.

Summary:
As for the crystal system: tetragonal. The calculation puts the electronic total energy at -0.454 Ry/atom. The value obtained for the density of states at the Fermi level is 1.1911 states/eV/atom.

a b c (Å): 3.958 4.597 4.597
angles (deg): 90.00 90.00 90.00
Atoms (fractional coordinates):
W  0.000  0.000  0.500
W  0.000  0.500  0.000
Cl  0.500  0.000  0.000
Bi  0.500  0.500  0.500
Be  0.000  0.000  0.000

---

[18]
An optimized crystal structure of BeFeCoBi2. Source: Alexandria, functional GGA-PBEsol.

Summary:
As for the crystal system: tetragonal. The value obtained for the density of states at the Fermi level is 1.4819 states/eV/atom. Its formation energy from the elements is 0.940 eV/atom.

a b c (Å): 4.019 4.886 4.886
angles (deg): 90.00 90.00 90.00
Atoms (fractional coordinates):
Fe  0.000  0.000  0.000
Be  0.500  0.000  0.000
Co  0.500  0.500  0.500
Bi  0.000  0.000  0.500
Bi  0.000  0.500  0.000

---

[19]
An optimized crystal structure of TaBeCo2Bi. Source: Alexandria, functional GGA-PBEsol.

Summary:
As for the crystal system: tetragonal. The value obtained for the density of states at the Fermi level is 0.4711 states/eV/atom. Its formation energy from the elements is 0.877 eV/atom.

a b c (Å): 3.980 3.980 4.618
angles (deg): 90.00 90.00 90.00
Atoms (fractional coordinates):
Co  0.000  0.500  0.000
Co  0.500  0.000  0.000
Bi  0.000  0.000  0.500
Ta  0.500  0.500  0.500
Be  0.000  0.000  0.000

---

[20]
An optimized crystal structure of Cs2BeBi. Source: Alexandria, functional GGA-PBEsol.

Summary:
As for the crystal system: cubic. The value obtained for the density of states at the Fermi level is 1.2279 states/eV/atom. Its formation energy from the elements is 0.575 eV/atom.

a b c (Å): 6.216 6.216 6.216
angles (deg): 60.00 60.00 60.00
Atoms (fractional coordinates):
Cs  0.250  0.250  0.250
Cs  0.750  0.750  0.750
Be  0.000  0.000  0.000
Bi  0.500  0.500  0.500